[1]
Computed, not measured: a geometry-optimized Ca2PuMnN4 structure at the PBE level of DFT.

Geometry as CIF:
```
data_Ca2PuMnN4
_cell_length_a 5.851
_cell_length_b 5.851
_cell_length_c 11.881
_cell_angle_alpha 90.00
_cell_angle_beta 90.00
_cell_angle_gamma 146.70
_symmetry_space_group_name_H-M 'P 1'
_symmetry_Int_Tables_number 1
_symmetry_space_group_name_Hall 'P 1'
loop_
_atom_site_label
_atom_site_type_symbol
_atom_site_fract_x
_atom_site_fract_y
_atom_site_fract_z
_atom_site_occupancy
Ca1 Ca 0.131 0.869 0.542 1
Ca2 Ca 0.131 0.869 0.958 1
Ca3 Ca 0.869 0.131 0.042 1
Ca4 Ca 0.869 0.131 0.458 1
Pu1 Pu 0.402 0.598 0.750 1
Pu2 Pu 0.598 0.402 0.250 1
Mn1 Mn 0.328 0.672 0.250 1
Mn2 Mn 0.672 0.328 0.750 1
N1 N 0.079 0.921 0.750 1
N2 N 0.220 0.780 0.142 1
N3 N 0.220 0.780 0.358 1
N4 N 0.500 0.500 0.000 1
N5 N 0.500 0.500 0.500 1
N6 N 0.780 0.220 0.642 1
N7 N 0.780 0.220 0.858 1
N8 N 0.921 0.079 0.250 1
```

- total energy (eV per cell) = -132.81
- raw formation energy (eV/atom) = -0.70

=====

[2]
Computed, not measured: a geometry-optimized SiAg2Te6 structure at the PBE level of DFT.

Geometry as CIF:
```
data_SiAg2Te6
_cell_length_a 7.462
_cell_length_b 8.545
_cell_length_c 9.483
_cell_angle_alpha 90.00
_cell_angle_beta 118.69
_cell_angle_gamma 90.00
_symmetry_space_group_name_H-M 'P 1'
_symmetry_Int_Tables_number 1
_symmetry_space_group_name_Hall 'P 1'
loop_
_atom_site_label
_atom_site_type_symbol
_atom_site_fract_x
_atom_site_fract_y
_atom_site_fract_z
_atom_site_occupancy
Si1 Si 0.000 0.000 0.000 1
Si2 Si 0.000 0.500 0.500 1
Ag1 Ag 0.359 0.152 0.817 1
Ag2 Ag 0.359 0.348 0.317 1
Ag3 Ag 0.641 0.652 0.683 1
Ag4 Ag 0.641 0.848 0.183 1
Te1 Te 0.108 0.215 0.445 1
Te2 Te 0.108 0.285 0.945 1
Te3 Te 0.215 0.641 0.371 1
Te4 Te 0.215 0.859 0.871 1
Te5 Te 0.374 0.017 0.267 1
Te6 Te 0.374 0.483 0.767 1
Te7 Te 0.626 0.517 0.233 1
Te8 Te 0.626 0.983 0.733 1
Te9 Te 0.785 0.141 0.129 1
Te10 Te 0.785 0.359 0.629 1
Te11 Te 0.892 0.715 0.055 1
Te12 Te 0.892 0.785 0.555 1
```

- total energy (eV per cell) = -58.96
- raw formation energy (eV/atom) = 0.05

=====

[3]
Computed, not measured: a geometry-optimized ZrFeBRu2 structure at the PBE level of DFT.

Geometry as CIF:
```
data_ZrFeBRu2
_cell_length_a 4.137
_cell_length_b 4.137
_cell_length_c 3.929
_cell_angle_alpha 90.00
_cell_angle_beta 90.00
_cell_angle_gamma 90.00
_symmetry_space_group_name_H-M 'P 1'
_symmetry_Int_Tables_number 1
_symmetry_space_group_name_Hall 'P 1'
loop_
_atom_site_label
_atom_site_type_symbol
_atom_site_fract_x
_atom_site_fract_y
_atom_site_fract_z
_atom_site_occupancy
Zr1 Zr 0.000 0.000 0.000 1
Fe1 Fe 0.500 0.500 0.000 1
B1 B 0.500 0.500 0.500 1
Ru1 Ru 0.000 0.500 0.500 1
Ru2 Ru 0.500 0.000 0.500 1
```

- ΔE_f (eV per atom) = -0.37
- total energy (eV per cell) = -44.11
- excess energy over the best structure of this formula in the dataset (eV/atom) = 0.000

=====

Q: total energy of number 1 (Ca2PuMnN4)?
A: -132.81 eV per cell